Below is a geometry-optimized BaCoClO2 structure, with properties calculated at the GGA+U level.

Output
Final energy ... -5.61 eV/atom
Fermi-level density of states ... 0.000 states/eV/atom

Cell lengths 5.4183, 5.8017, 7.4307 Å; angles 112.98, 90.00, 90.00 degrees
Each line ends with the local moment (μB).
Sites, in units of the cell vectors:
Ba (0.2500, 0.6282, 0.2565)  0.01
Ba (0.7500, 0.3718, 0.7435)  0.01
Co (0.2500, 0.9911, 0.9823)  1.89
Co (0.7500, 0.0089, 0.0177)  1.89
Cl (0.7500, 0.7542, 0.5085)  0.00
Cl (0.2500, 0.2458, 0.4915)  0.00
O (0.5000, 0.2151, 0.0000)  0.03
O (0.0000, 0.7849, 0.0000)  0.03
O (0.5000, 0.7849, 0.0000)  0.03
O (0.0000, 0.2151, 0.0000)  0.03